[1]
Here is a geometry-optimized Zn2HgMo structure from Alexandria. Energies are from GGA-PBE.

Computed properties:
ρ: 10560 kg/m³
Energy relative to the elements: 0.298 eV per atom

Lattice parameters (Å, degrees): 2.7944 2.7944 8.6113 90.00 90.00 91.97
With the nearest neighbours (Å) after each atom.
Fractional positions:
Hg 0.0000 0.0000 0.5014  4 Hg 2.79, 4 Mo 3.03-3.07, 4 Zn 3.06-3.11
Mo 0.5000 0.5000 0.7710  4 Zn 2.77-2.82, 4 Mo 2.79, 4 Hg 3.03-3.07
Zn 0.0000 0.0000 0.0011  8 Zn 2.75-2.79, 4 Mo 2.77-2.82
Zn 0.5000 0.5000 0.2265  8 Zn 2.75-2.79, 2 Hg 3.06

[2]
Here is a geometry-optimized ZnHgMo3 structure from Alexandria. Energies are from GGA-PBE.

Computed properties:
Offset from the most stable computed form: 1.010 eV/atom
ρ: 7624 kg/m³
Energy relative to the elements: 2.609 eV per atom

Lattice parameters (Å, degrees): 4.9409 4.9409 4.9409 90.00 90.00 90.00
With the nearest neighbours (Å) after each atom.
Fractional positions:
Zn 0.5000 0.5000 0.5000  12 Mo 3.49
Mo 0.0000 0.5000 0.0000  2 Hg 2.47
Mo 0.0000 0.0000 0.5000  2 Hg 2.47
Mo 0.5000 0.0000 0.0000  2 Hg 2.47
Hg 0.0000 0.0000 0.0000  6 Mo 2.47

[3]
Here is a geometry-optimized Zn2HgMo2 structure from Alexandria. Energies are from GGA-PBE.

Computed properties:
ρ: 9513 kg/m³
Energy relative to the elements: 0.519 eV per atom

Lattice parameters (Å, degrees): 7.3975 7.3975 7.3975 151.61 151.61 40.59
With the nearest neighbours (Å) after each atom.
Fractional positions:
Zn 0.5970 0.5970 0.0000  1 Zn 2.69, 4 Mo 2.79, 4 Hg 2.90
Zn 0.4030 0.4030 0.0000  1 Zn 2.69, 4 Mo 2.79, 4 Hg 2.90
Hg 0.0000 0.0000 0.0000  8 Zn 2.90
Mo 0.2500 0.7500 0.5000  4 Mo 2.57, 4 Zn 2.79
Mo 0.7500 0.2500 0.5000  4 Mo 2.57, 4 Zn 2.79

[4]
Here is a geometry-optimized Zn3HgMo structure from Alexandria. Energies are from GGA-PBE.

Computed properties:
Offset from the most stable computed form: 0.000 eV/atom
ρ: 6096 kg/m³
Energy relative to the elements: 0.927 eV per atom

Lattice parameters (Å, degrees): 5.1201 5.1201 5.1201 90.00 90.00 90.00
With the nearest neighbours (Å) after each atom.
Fractional positions:
Zn 0.0000 0.5000 0.0000  2 Mo 2.56
Zn 0.0000 0.0000 0.5000  2 Mo 2.56
Zn 0.5000 0.0000 0.0000  2 Mo 2.56
Mo 0.0000 0.0000 0.0000  6 Zn 2.56
Hg 0.5000 0.5000 0.5000  12 Zn 3.62

[5]
Here is a geometry-optimized Zn2HgMo structure from Alexandria. Energies are from GGA-PBE.

Computed properties:
ρ: 10583 kg/m³
Energy relative to the elements: 0.282 eV per atom

Lattice parameters (Å, degrees): 2.8852 3.8765 5.9952 90.00 90.00 90.00
With the nearest neighbours (Å) after each atom.
Fractional positions:
Hg 0.5000 0.5000 0.2500  2 Hg 2.89, 8 Zn 2.94, 2 Mo 3.00
Mo 0.5000 0.5000 0.7500  8 Zn 2.75, 2 Mo 2.89, 2 Hg 3.00
Zn 0.0000 0.0000 0.9698  3 Zn 2.64-2.89, 4 Mo 2.75, 4 Hg 2.94
Zn 0.0000 0.0000 0.5302  3 Zn 2.64-2.89, 4 Mo 2.75, 4 Hg 2.94

[6]
Here is a geometry-optimized Zn2HgMo structure from Alexandria. Energies are from GGA-PBE.

Computed properties:
ρ: 10652 kg/m³
Energy relative to the elements: 0.353 eV per atom

Lattice parameters (Å, degrees): 2.8509 3.8572 6.0581 90.00 90.00 90.00
With the nearest neighbours (Å) after each atom.
Fractional positions:
Hg 0.0000 0.0000 0.4936  2 Hg 2.85, 6 Zn 2.88-3.06, 4 Mo 2.96
Mo 0.5000 0.5000 0.7788  5 Zn 2.73-2.74, 2 Mo 2.85, 4 Hg 2.96
Zn 0.0000 0.0000 0.9987  4 Mo 2.74, 6 Zn 2.77-2.85, 2 Hg 3.00-3.06
Zn 0.5000 0.5000 0.2289  1 Mo 2.73, 6 Zn 2.77-2.85, 4 Hg 2.88